# Na2SrLi2Bi2

Na2SrLi2Bi2 after structural relaxation (PBE, Alexandria via LeMat-Bulk).

It has space group R-3m (No. 166, hexagonal axes), with a = 5.0127 Å, b = 5.0127 Å, c = 27.7167 Å, α = 90.00°, β = 90.00° and γ = 120.00°. The asymmetric unit holds Na at (0.0000, 0.0000, 0.1357), Sr at (0.0000, 0.0000, 0.0000), Li at (0.0000, 0.0000, 0.4114) and Bi at (0.0000, 0.0000, 0.2574).

Its energy of formation from the pure elements is -0.5916 eV/atom.

***

# Na2Sr2LiBi4

Na2Sr2LiBi4 after structural relaxation (PBE, Alexandria via LeMat-Bulk).

It has space group I4/mmm (No. 139), with a = 7.592 Å, b = 7.592 Å, c = 9.763 Å, α = 90.00°, β = 90.00° and γ = 90.00°. The asymmetric unit holds Na at (0.000, 0.000, 0.208), Sr at (0.000, 0.500, 0.250), Li at (0.000, 0.000, 0.500) and Bi at (0.242, 0.242, 0.000).

Its energy of formation from the pure elements is -0.4950 eV/atom.

***

# Na2SrLiBi

Na2SrLiBi after structural relaxation (PBE, Alexandria via LeMat-Bulk).

It has space group P4/mmm (No. 123), with a = 5.379 Å, b = 5.379 Å, c = 5.407 Å, α = 90.00°, β = 90.00° and γ = 90.00°. The asymmetric unit holds Na at (0.000, 0.500, 0.000), Sr at (0.000, 0.000, 0.500), Li at (0.500, 0.500, 0.000) and Bi at (0.500, 0.500, 0.500).

Its energy of formation from the pure elements is -0.2202 eV/atom.

***

# NaSrLi2Bi2

NaSrLi2Bi2 after structural relaxation (PBE, Alexandria via LeMat-Bulk).

It has space group P-3m1 (No. 164), with a = 4.9692 Å, b = 4.9692 Å, c = 7.7162 Å, α = 90.00°, β = 90.00° and γ = 120.00°. The asymmetric unit holds Na at (0.0000, 0.0000, 0.0000), Sr at (0.0000, 0.0000, 0.5000), Li at (0.3333, 0.6667, 0.8320) and Bi at (0.3333, 0.6667, 0.2415).

Its energy of formation from the pure elements is -0.5871 eV/atom.

***

# NaLiBiTe2

NaLiBiTe2 after structural relaxation (PBE, Alexandria via LeMat-Bulk).

It has space group P4/mmm (No. 123), with a = 5.431 Å, b = 5.431 Å, c = 5.022 Å, α = 90.00°, β = 90.00° and γ = 90.00°. The asymmetric unit holds Na at (0.000, 0.000, 0.000), Li at (0.500, 0.500, 0.500), Bi at (0.500, 0.500, 0.000) and Te at (0.000, 0.500, 0.500).

The energy relative to the elements, uncorrected is -3.0 kcal/mol of atoms.

***

# Na2Li2TlBi2

Na2Li2TlBi2 after structural relaxation (PBE, Alexandria via LeMat-Bulk).

It has space group P-3m1 (No. 164), with a = 3.5034 Å, b = 3.5034 Å, c = 18.6262 Å, α = 90.00°, β = 90.00° and γ = 120.00°. The asymmetric unit holds Na at (0.0000, 0.0000, 0.1694), Li at (0.3333, 0.6667, 0.4331), Tl at (0.0000, 0.0000, 0.0000) and Bi at (0.3333, 0.6667, 0.6864).

Its energy of formation from the pure elements is -0.1436 eV/atom.

***

# NaLiTl2Bi

NaLiTl2Bi after structural relaxation (PBE, Alexandria via LeMat-Bulk).

It has space group P4/mmm (No. 123), with a = 5.312 Å, b = 5.312 Å, c = 5.283 Å, α = 90.00°, β = 90.00° and γ = 90.00°. The asymmetric unit holds Na at (0.000, 0.000, 0.000), Li at (0.500, 0.500, 0.500), Tl at (0.000, 0.500, 0.500) and Bi at (0.500, 0.500, 0.000).

Its energy of formation from the pure elements is -0.0865 eV/atom.

***

# NaLi2Zn2Bi2

NaLi2Zn2Bi2 after structural relaxation (PBE, Alexandria via LeMat-Bulk).

It has space group R-3m (No. 166, hexagonal axes), with a = 4.6214 Å, b = 4.6214 Å, c = 26.3338 Å, α = 90.00°, β = 90.00° and γ = 120.00°. The asymmetric unit holds Na at (0.0000, 0.0000, 0.0000), Li at (0.0000, 0.0000, 0.1417), Zn at (0.0000, 0.0000, 0.4505) and Bi at (0.0000, 0.0000, 0.2550).

Its energy of formation from the pure elements is -0.2931 eV/atom.